(1)
12
Lattice="-5.103 -0.561 4.911 3.820 -3.202 3.605 3.941 8.565 -0.065" Properties=species:S:1:pos:R:3 comment="PBE Dy3Ho2Tm, optimized geometry" polymorph_energy_mev_per_atom=0 pbc="T T T"
Tm -0.322 -2.752 5.770
Ho 4.001 2.344 5.708
Dy 2.225 -2.472 3.320
Dy 1.840 1.008 3.314
Tm -0.961 -1.011 2.745
Dy -3.508 -1.291 5.196
Ho 3.364 4.085 2.680
Dy 1.450 2.052 8.168
Dy 1.208 2.749 0.282
Ho -1.343 2.458 2.742
Dy 0.818 3.794 5.136
Ho -0.706 0.717 5.770

---

(2)
Dy3Ho3Tm8 | PBE | optimized geometry

Cell and atoms, written as extended XYZ:
```
14
Lattice="5.531 0.000 0.000 2.766 8.682 -2.644 2.766 -0.180 9.074" Properties=species:S:1:pos:R:3 pbc="T T T"
Tm 8.297 4.665 5.443
Tm 2.766 1.994 3.424
Ho 5.531 1.738 1.314
Dy 2.766 0.000 0.000
Tm 5.531 7.571 1.633
Tm 8.297 6.508 3.007
Tm 5.531 4.870 -0.410
Ho 5.531 6.765 5.116
Dy 2.766 1.430 6.946
Tm 5.531 3.632 6.840
Tm 5.531 0.931 4.798
Tm 2.766 3.837 0.987
Dy 2.766 7.073 -0.515
Ho 5.531 4.251 3.215
```

---

(3)
16
Lattice="4.967 0.000 0.000 0.000 7.032 0.000 0.000 0.000 14.065" Properties=species:S:1:pos:R:3 comment="PBE Dy2Ho5Tm, optimized geometry" polymorph_energy_mev_per_atom=0 pbc="T T T"
Ho 2.484 5.272 8.789
Ho 0.000 3.512 10.551
Ho 0.000 3.516 7.032
Ho 0.000 3.519 3.514
Ho 0.000 7.028 10.546
Ho 0.000 0.004 3.519
Ho 2.484 1.760 5.276
Dy 2.484 5.271 12.310
Ho 2.484 5.276 1.756
Tm 0.000 3.516 0.000
Dy 2.484 1.755 8.788
Ho 0.000 0.000 0.000
Dy 2.484 1.761 1.755
Ho 2.484 1.756 12.309
Dy 2.484 5.277 5.277
Tm 0.000 0.000 7.032

---

(4)
19
Lattice="-1.676 -8.011 -4.166 7.992 -0.533 4.493 -6.733 1.769 5.990" Properties=species:S:1:pos:R:3 comment="PBE Dy6HoTm12, optimized geometry" polymorph_energy_mev_per_atom=78 pbc="T T T"
Dy 5.021 -0.776 3.248
Tm 1.604 -4.271 4.912
Tm -3.027 -5.568 0.635
Dy 3.863 -7.453 2.124
Tm -2.021 -2.504 1.405
Tm -1.822 -3.736 5.260
Tm -0.645 -6.011 2.898
Tm 0.228 -0.765 3.420
Tm 4.083 -4.059 2.722
Tm 1.266 -6.239 0.198
Dy 0.668 -1.276 8.539
Dy -5.439 -5.999 3.069
Tm -1.683 -0.537 6.119
Tm -4.501 -2.717 3.595
Dy -4.280 0.678 4.193
Tm 2.609 -1.208 5.683
Tm 1.404 -3.040 1.057
Ho 0.000 0.000 0.000
Dy -1.086 -5.500 -2.222

---

(5)
7
Lattice="-3.821 4.317 1.876 -6.156 -4.450 -2.299 4.799 -2.382 5.459" Properties=species:S:1:pos:R:3 comment="PBE DyHoTm5, optimized geometry" polymorph_energy_mev_per_atom=818 pbc="T T T"
Dy -3.568 4.031 1.751
Tm -3.743 -1.474 -0.823
Tm -6.706 -1.784 -1.075
Tm -2.758 1.070 0.400
Ho -5.736 0.778 0.155
Tm -4.817 -1.552 2.206
Tm 0.166 -1.558 2.571

---

(6)
19
Lattice="-8.463 0.549 3.812 0.585 -8.025 -4.659 6.282 -0.141 6.853" Properties=species:S:1:pos:R:3 comment="PBE Dy12Ho6Tm, optimized geometry" polymorph_energy_mev_per_atom=296 pbc="T T T"
Dy -1.922 -2.692 0.672
Dy 4.950 -4.078 4.188
Ho -3.717 -5.119 1.210
Dy 2.729 -7.151 -0.299
Dy -6.545 -3.540 1.817
Dy 0.326 -4.925 5.334
Ho -4.058 -2.209 3.521
Dy -3.018 -6.882 -1.484
Dy -4.325 -0.467 6.305
Dy 1.423 -0.736 7.490
Dy 1.250 -2.840 1.326
Ho 2.122 -2.499 4.796
Ho -0.266 -5.803 -0.029
Dy -0.696 -0.996 3.149
Tm 0.000 0.000 0.000
Ho 2.462 -5.408 2.485
Ho -1.330 -1.815 6.035
Dy -0.899 -6.622 2.857
Dy -2.846 -4.777 4.680

---

(7)
Dy4HoTm4 | PBE | optimized geometry

Cell and atoms, written as extended XYZ:
```
9
Lattice="4.952 0.000 0.000 2.476 7.449 0.000 2.476 0.000 7.449" Properties=species:S:1:pos:R:3 pbc="T T T"
Dy 7.428 4.973 2.477
Tm 4.952 4.969 0.001
Dy 4.952 2.477 2.477
Ho 0.000 0.000 0.000
Dy 2.476 2.477 4.973
Tm 2.476 0.001 2.480
Tm 7.428 7.449 4.969
Dy 4.952 4.973 4.973
Tm 4.952 2.480 7.449
```

---

(8)
12
Lattice="-1.992 2.465 1.613 -1.914 -3.889 3.580 14.991 5.701 9.794" Properties=species:S:1:pos:R:3 comment="PBE Dy2Ho7Tm3, optimized geometry" polymorph_energy_mev_per_atom=38 pbc="T T T"
Ho 0.000 0.000 0.000
Ho 6.488 1.737 5.356
Ho 1.615 -1.256 3.914
Tm 7.845 3.600 8.105
Tm 3.240 0.678 6.883
Ho 11.461 3.068 9.461
Dy 8.929 0.702 9.951
Ho 1.015 1.771 2.467
Ho 6.588 0.076 8.019
Ho 10.069 2.507 12.521
Tm -1.953 -0.712 2.597
Dy 4.147 1.110 3.423

---

(9)
DyHo12Tm3 | PBE | optimized geometry

Cell and atoms, written as extended XYZ:
```
16
Lattice="4.966 0.000 0.000 0.000 4.966 0.000 0.000 0.000 19.849" Properties=species:S:1:pos:R:3 pbc="T T T"
Ho 2.483 0.000 2.494
Ho 2.483 2.483 9.924
Tm 0.000 0.000 9.924
Ho 2.483 2.483 4.974
Ho 2.483 0.000 12.401
Ho 2.483 0.000 17.354
Tm 0.000 0.000 14.877
Ho 2.483 2.483 14.874
Ho 0.000 2.483 12.401
Ho 2.483 2.483 0.000
Dy 0.000 0.000 0.000
Ho 0.000 2.483 7.448
Ho 0.000 2.483 17.354
Ho 2.483 0.000 7.448
Tm 0.000 0.000 4.971
Ho 0.000 2.483 2.494
```

---

(10)
14
Lattice="5.442 0.000 1.094 2.672 9.094 0.792 1.035 -3.083 8.938" Properties=species:S:1:pos:R:3 comment="PBE Dy3Ho8Tm3, optimized geometry" polymorph_energy_mev_per_atom=0 pbc="T T T"
Tm 4.575 3.005 5.412
Ho 4.486 -0.652 5.849
Ho 6.851 2.699 8.171
Tm 4.058 4.790 7.976
Dy 2.721 0.000 0.547
Ho 7.190 5.218 6.486
Ho 4.663 6.663 4.975
Ho 3.936 1.256 8.591
Dy 1.331 -0.882 7.465
Ho 2.298 3.312 2.652
Ho 5.213 4.754 2.232
Ho 1.959 0.792 4.338
Dy 2.376 6.893 2.264
Tm 5.091 1.220 2.848

---

(11)
10
Lattice="3.573 -0.002 0.000 -1.780 8.172 0.000 0.000 0.000 11.378" Properties=species:S:1:pos:R:3 comment="PBE DyHoTm3, optimized geometry" polymorph_energy_mev_per_atom=324 pbc="T T T"
Tm 0.900 6.614 2.845
Tm -0.888 6.607 5.684
Dy -0.892 4.283 8.534
Tm 2.681 1.563 11.373
Tm 0.894 1.556 8.534
Dy 2.685 3.887 2.845
Ho 0.894 1.060 2.845
Ho 0.899 7.110 8.534
Tm 2.681 1.563 5.694
Tm -0.888 6.607 0.005

---

(12)
12
Lattice="-1.278 5.303 4.415 -6.993 -5.397 -6.690 5.827 1.416 11.119" Properties=species:S:1:pos:R:3 comment="PBE Dy3Ho4Tm5, optimized geometry" polymorph_energy_mev_per_atom=0 pbc="T T T"
Dy 2.913 0.708 5.560
Ho 0.673 0.019 2.960
Dy 0.034 2.669 5.167
Tm -0.227 -0.650 6.283
Ho -1.579 -0.684 0.358
Ho -3.118 1.303 5.885
Tm -2.218 1.972 2.562
Dy -2.478 -1.347 3.677
Tm 2.011 0.043 8.877
Tm 2.274 3.359 7.767
Ho -0.865 2.006 8.486
Tm -4.456 1.279 -0.033

---

Number 1: M_tot 0.000 μB/cell, energy of formation from the pure elements 2 meV per atom, N(E_F) 16.1 states/eV/cell. Number 2: M_tot 0.000 μB/cell, energy of formation from the pure elements 120 meV per atom, N(E_F) 22.1 states/eV/cell. Number 3: M_tot 0.000 μB/cell, energy of formation from the pure elements 17 meV per atom, N(E_F) 18.2 states/eV/cell. Number 4: M_tot 0.000 μB/cell, energy of formation from the pure elements 267 meV per atom, N(E_F) 32.2 states/eV/cell. Number 5: M_tot 0.000 μB/cell, energy of formation from the pure elements 1023 meV per atom, N(E_F) 8.7 states/eV/cell. Number 6: M_tot 0.000 μB/cell, energy of formation from the pure elements 452 meV per atom, N(E_F) 24.0 states/eV/cell. Number 7: M_tot 0.000 μB/cell, energy of formation from the pure elements 23 meV per atom, N(E_F) 12.5 states/eV/cell. Number 8: M_tot 0.000 μB/cell, energy of formation from the pure elements 117 meV per atom, N(E_F) 17.6 states/eV/cell. Number 9: M_tot 0.000 μB/cell, energy of formation from the pure elements 21 meV per atom, N(E_F) 20.6 states/eV/cell. Number 10: M_tot 0.000 μB/cell, energy of formation from the pure elements 116 meV per atom, N(E_F) 21.2 states/eV/cell. Number 11: M_tot 0.001 μB/cell, energy of formation from the pure elements 324 meV per atom, N(E_F) 17.1 states/eV/cell. Number 12: M_tot 0.000 μB/cell, energy of formation from the pure elements 22 meV per atom, N(E_F) 15.6 states/eV/cell.